# 1
This record from the Alexandria database describes a relaxed Li4YGa crystal. The functional is PBE.

The structure in extended XYZ format:
```
6
Lattice="-1.172 -4.843 -2.016 1.687 -1.341 -4.924 3.880 -3.670 -0.605" Properties=species:S:1:pos:R:3 pbc="T T T"
Li 1.900 -5.495 -2.235
Li 2.754 -6.174 -4.727
Li 3.347 -3.722 -3.707
Li 0.790 -4.316 -4.421
Y 1.099 -2.463 -1.886
Ga 0.000 0.000 0.000
```

Results
- final energy (Ry per atom) = -0.21669
- calculated density (g cm⁻³) = 2.82

# 2
This record from the Alexandria database describes a relaxed Li2YGa6 crystal. The functional is PBE.

The structure in extended XYZ format:
```
9
Lattice="-2.260 0.929 -2.607 1.158 -6.508 -3.324 -4.268 0.259 6.242" Properties=species:S:1:pos:R:3 pbc="T T T"
Ga -2.124 -4.893 -2.352
Ga -2.539 -2.555 -1.158
Ga -0.169 -4.938 -4.063
Ga -3.247 -0.427 2.663
Ga -2.831 -2.765 1.469
Ga -0.933 -0.641 -1.868
Li -1.230 -0.646 0.836
Li -4.141 -4.674 -0.525
Y 0.579 -3.254 -1.662
```

Results
- final energy (Ry per atom) = -0.25515
- energy relative to the lowest polymorph listed for this composition (meV per atom) = 23.9
- calculated density (g cm⁻³) = 5.15

| no. | formation energy (eV/f.u.) | N(E_F) (states/eV/atom) |
| --- | --- | --- |
| 1 | -0.54 | 0.26 |
| 2 | -2.79 | 0.26 |